Record 1
Density functional theory data (PBE) for an optimized crystal structure of CaTi2Zn2.

Computed properties:
ΔH_f (0 K) ... 0.05 eV/f.u.
ΔE to the lowest computed polymorph ... 0.000 eV/atom
Electronic total energy ... -4.06 eV/atom
Space-group type ... P4/mbm (127)
ρ ... 4.66 Mg/m³
Crystal system ... tetragonal

Cell lengths 8.0087, 8.0087, 2.9604 Å; angles 90.00, 90.00, 90.00 degrees
Fractional positions:
Ca1 0.0000 0.0000 0.0000
Ca2 0.5000 0.5000 0.0000
Ti1 0.1113 0.3887 0.0000
Ti2 0.3887 0.8887 0.0000
Ti3 0.6113 0.1113 0.0000
Ti4 0.8887 0.6113 0.0000
Zn1 0.1805 0.6805 0.5000
Zn2 0.3195 0.1805 0.5000
Zn3 0.6805 0.8195 0.5000
Zn4 0.8195 0.3195 0.5000


Record 2
Density functional theory data (PBE) for an optimized crystal structure of CaTi2Zn2.

Computed properties:
ΔH_f (0 K) ... 0.21 eV/f.u.
ΔE to the lowest computed polymorph ... 0.033 eV/atom
Electronic total energy ... -4.03 eV/atom
Space-group type ... I4/mmm (139)
ρ ... 4.32 Mg/m³
Crystal system ... tetragonal

Cell lengths 4.0495, 4.0495, 12.5089 Å; angles 90.00, 90.00, 90.00 degrees
Fractional positions:
Ca1 0.0000 0.0000 0.0000
Ca2 0.5000 0.5000 0.5000
Ti1 0.0000 0.5000 0.2500
Ti2 0.0000 0.5000 0.7500
Ti3 0.5000 0.0000 0.2500
Ti4 0.5000 0.0000 0.7500
Zn1 0.0000 0.0000 0.3975
Zn2 0.0000 0.0000 0.6025
Zn3 0.5000 0.5000 0.1025
Zn4 0.5000 0.5000 0.8975


Record 3
Density functional theory data (PBE) for an optimized crystal structure of CaTiZn4.

Computed properties:
ΔH_f (0 K) ... -0.51 eV/f.u.
Electronic total energy ... -2.58 eV/atom
Space-group type ... F-43m (216)
ρ ... 5.53 Mg/m³
Crystal system ... cubic

Cell lengths 5.2939, 5.2939, 5.2939 Å; angles 60.00, 60.00, 60.00 degrees
Fractional positions:
Ca1 0.0000 0.0000 0.0000
Ti1 0.7500 0.7500 0.7500
Zn1 0.3764 0.3764 0.3764
Zn2 0.3764 0.3764 0.8709
Zn3 0.3764 0.8709 0.3764
Zn4 0.8709 0.3764 0.3764


Record 4
Density functional theory data (PBE) for an optimized crystal structure of CaTiZn.

Computed properties:
ΔH_f (0 K) ... 0.38 eV/f.u.
ΔE to the lowest computed polymorph ... 0.027 eV/atom
Electronic total energy ... -3.60 eV/atom
Space-group type ... P4/mmm (123)
ρ ... 3.75 Mg/m³
Crystal system ... tetragonal

Cell lengths 3.4753, 3.4753, 11.2446 Å; angles 90.00, 90.00, 90.00 degrees
Fractional positions:
Ca1 0.0000 0.0000 0.1740
Ca2 0.0000 0.0000 0.8260
Ti1 0.5000 0.5000 0.3875
Ti2 0.5000 0.5000 0.6125
Zn1 0.0000 0.0000 0.5000
Zn2 0.5000 0.5000 0.0000